i:
! Li2SmSn2 | Alexandria via LeMat-Bulk | GGA-PBE | relaxed; values from VASP
! V in Å³/cell: 116.5
&SYSTEM
  ibrav = 0, nat = 5, ntyp = 3
/
ATOMIC_SPECIES
Li 6.94 Li.upf
Sm 150.36 Sm.upf
Sn 118.71 Sn.upf
ATOMIC_POSITIONS angstrom
Li -3.472 0.920 -1.214
Li -3.461 -0.681 1.392
Sm 0.000 0.000 0.000
Sn -2.701 -1.719 -1.043
Sn -4.232 1.958 1.222
CELL_PARAMETERS angstrom
-1.476 -0.690 -4.007
-1.453 -3.892 1.205
-4.004 4.821 2.980

=====

ii:
! Li2SmSn2 | Alexandria via LeMat-Bulk | GGA-PBE | relaxed; values from VASP
! V in Å³/cell: 221.8
&SYSTEM
  ibrav = 0, nat = 10, ntyp = 3
/
ATOMIC_SPECIES
Li 6.94 Li.upf
Sm 150.36 Sm.upf
Sn 118.71 Sn.upf
ATOMIC_POSITIONS angstrom
Li 1.126 2.991 7.150
Li 3.377 0.908 4.019
Li 1.126 1.126 0.061
Li 3.377 2.774 11.108
Sm 1.126 3.224 2.882
Sm 3.377 0.675 8.287
Sn 1.126 2.855 9.676
Sn 3.377 1.045 1.493
Sn 1.126 0.826 5.523
Sn 3.377 3.074 5.646
CELL_PARAMETERS angstrom
4.503 0.000 0.000
0.000 4.496 0.245
0.000 -0.596 10.925

=====

It is i that is most stable; the runner-up trails by 37 meV per atom.